Below is a geometry-optimized Be2AlMoP structure, with properties calculated at the PBEsol level.

The calculation puts the formation energy at 0.859 eV/atom. Its uncorrected energy is -5.072 eV per atom.

It has space group P4/mmm (No. 123), with a = 4.3700 Å, b = 4.3700 Å, c = 4.4794 Å, α = 90.00°, β = 90.00° and γ = 90.00°. The distinct sites, in fractional coordinates, are Be at (0.0000, 0.5000, 0.0000), Al at (0.0000, 0.0000, 0.5000), Mo at (0.5000, 0.5000, 0.0000) and P at (0.5000, 0.5000, 0.5000).

Below is a geometry-optimized TaCd2Os structure, with properties calculated at the PBEsol level.

The calculation puts the energy above the most stable polymorph in this dataset at 0 kJ/mol of formula units. The calculation puts the formation energy at 0.113 eV/atom. Its uncorrected energy is -6.677 eV per atom.

It has space group P4mm (No. 99), with a = 3.0695 Å, b = 3.0695 Å, c = 7.6544 Å, α = 90.00°, β = 90.00° and γ = 90.00°. The distinct sites, in fractional coordinates, are Ta at (0.0000, 0.0000, 0.0000), Cd at (0.0000, 0.0000, 0.5568), Cd at (0.5000, 0.5000, 0.2824) and Os at (0.5000, 0.5000, 0.8109).

Below is a geometry-optimized Be2Pd2Au structure, with properties calculated at the PBEsol level.

The calculation puts the formation energy at -0.441 eV/atom. Its uncorrected energy is -5.210 eV per atom.

It has space group P4/mbm (No. 127), with a = 6.6306 Å, b = 6.6306 Å, c = 2.7859 Å, α = 90.00°, β = 90.00° and γ = 90.00°. The distinct sites, in fractional coordinates, are Be at (0.1361, 0.3639, 0.0000), Pd at (0.1546, 0.6546, 0.5000) and Au at (0.0000, 0.0000, 0.0000).

Below is a geometry-optimized CaZn structure, with properties calculated at the PBEsol level.

The calculation puts the formation energy at -0.143 eV/atom. Its uncorrected energy is -2.001 eV per atom.

It has space group P1 (No. 1), with a = 4.1064 Å, b = 5.7959 Å, c = 7.1138 Å, α = 76.63°, β = 73.30° and γ = 69.27°. The distinct sites, in fractional coordinates, are Ca at (0.0000, 0.0000, 0.0000), Ca at (0.1550, 0.3548, 0.3356), Ca at (0.3885, 0.4890, 0.7347), Zn at (0.4273, 0.8002, 0.3436), Zn at (0.6930, 0.5837, 0.0308) and Zn at (0.7565, 0.9203, 0.5679).

Below is a geometry-optimized In2CuPO structure, with properties calculated at the PBEsol level.

The formation energy without anion corrections is -0.101 eV/atom. Its uncorrected energy is -4.369 eV per atom.

It has space group P4/mmm (No. 123), with a = 4.8464 Å, b = 4.8464 Å, c = 3.6860 Å, α = 90.00°, β = 90.00° and γ = 90.00°. The distinct sites, in fractional coordinates, are In at (0.0000, 0.5000, 0.0000), Cu at (0.0000, 0.0000, 0.5000), P at (0.5000, 0.5000, 0.5000) and O at (0.0000, 0.0000, 0.0000).

Below is a geometry-optimized Li2LaCo structure, with properties calculated at the PBEsol level.

The calculation puts the energy above the most stable polymorph in this dataset at 0 kJ/mol of formula units. The calculation puts the formation energy at 0.173 eV/atom. Its uncorrected energy is -4.081 eV per atom.

It has space group Cmmm (No. 65), with a = 5.1618 Å, b = 5.5903 Å, c = 5.2608 Å, α = 90.00°, β = 90.00° and γ = 90.00°. The distinct sites, in fractional coordinates, are Li at (0.0000, 0.2026, 0.0000), La at (0.0000, 0.5000, 0.5000) and Co at (0.0000, 0.0000, 0.5000).